Record 1
An optimized crystal structure of SrAs2Pt. Source: Alexandria, functional GGA-PBE.

```
data_SrAs2Pt
_chemical_formula_sum 'Sr3 As6 Pt3'
_symmetry_space_group_name_H-M 'R 3 m'
_symmetry_Int_Tables_number 160
_symmetry_space_group_name_Hall 'R 3 -2"'
_cell_length_a 4.0974
_cell_length_b 4.0974
_cell_length_c 19.0850
_cell_angle_alpha 90.00
_cell_angle_beta 90.00
_cell_angle_gamma 120.00
loop_
_atom_site_label
_atom_site_type_symbol
_atom_site_fract_x
_atom_site_fract_y
_atom_site_fract_z
Sr1 Sr 0.0000 0.0000 0.0000
As1 As 0.0000 0.0000 0.5643
As2 As 0.0000 0.0000 0.7862
Pt1 Pt 0.0000 0.0000 0.1780
```

Computed properties:
mass density = 7.77 g cm⁻³
formation enthalpy at 0 K = -717 meV per atom
D(E_F) = 2.87 states/eV per cell

***

Record 2
An optimized crystal structure of NaYMn2Nb. Source: Alexandria, functional GGA-PBE.

```
data_NaYMn2Nb
_chemical_formula_sum 'Na1 Y1 Mn2 Nb1'
_symmetry_space_group_name_H-M 'P 4/m m m'
_symmetry_Int_Tables_number 123
_symmetry_space_group_name_Hall '-P 4 2'
_cell_length_a 4.7928
_cell_length_b 4.7928
_cell_length_c 4.9565
_cell_angle_alpha 90.00
_cell_angle_beta 90.00
_cell_angle_gamma 90.00
loop_
_atom_site_label
_atom_site_type_symbol
_atom_site_fract_x
_atom_site_fract_y
_atom_site_fract_z
Na1 Na 0.0000 0.0000 0.0000
Y1 Y 0.0000 0.0000 0.5000
Mn1 Mn 0.0000 0.5000 0.5000
Nb1 Nb 0.5000 0.5000 0.0000
```

Computed properties:
mass density = 4.59 g cm⁻³
formation enthalpy at 0 K = 1783 meV per atom
D(E_F) = 7.91 states/eV per cell

***

Record 3
An optimized crystal structure of SrAlBr6. Source: Alexandria, functional GGA-PBE.

```
data_SrAlBr6
_chemical_formula_sum 'Sr1 Al1 Br6'
_symmetry_space_group_name_H-M 'P -1'
_symmetry_Int_Tables_number 2
_cell_length_a 7.0035
_cell_length_b 7.0039
_cell_length_c 7.3203
_cell_angle_alpha 61.55
_cell_angle_beta 61.55
_cell_angle_gamma 60.02
loop_
_symmetry_equiv_pos_as_xyz
'x,y,z'
'-x,-y,-z'
loop_
_atom_site_label
_atom_site_type_symbol
_atom_site_fract_x
_atom_site_fract_y
_atom_site_fract_z
Sr1 Sr 0.0000 0.0000 0.0000
Al1 Al 0.5000 0.5000 0.5000
Br1 Br 0.1100 0.7005 0.7310
Br2 Br 0.3015 0.5416 0.2666
Br3 Br 0.4571 0.1108 0.7324
```

Computed properties:
mass density = 3.80 g cm⁻³
formation energy (no corrections) = -1.17 eV per atom
D(E_F) = 10.35 states/eV per cell